No. 1
Here is a relaxed InTeIN2 crystal from Alexandria. Energies are from PBE.

Its density is 5.3 g cm⁻³. The calculation puts the total energy at -3.4384 eV per atom. The volume comes out at 25.1 Å³/atom. As for the uncorrected formation energy: 1378 meV per atom. For the size of the total moment, the calculation gives 0.715 μB per atom. The calculation puts the offset from the most stable computed form at 0.47 eV/f.u.

The structure belongs to space group P4/mmm (No. 123); the cell edges are 4.4487, 4.4487 and 6.3475 Å and the angles 90.00°, 90.00° and 90.00°. Symmetry generates all atoms from In at (0.0000, 0.0000, 0.0000), Te at (0.0000, 0.0000, 0.5000), I at (0.5000, 0.5000, 0.5000) and N at (0.0000, 0.5000, 0.0000).

=====

No. 2
Here is a relaxed MnCr2P crystal from Alexandria. Energies are from PBE.

Its density is 7.2 g cm⁻³. The calculation puts the total energy at -8.6614 eV per atom. The volume comes out at 11.0 Å³/atom. For the size of the total moment, the calculation gives 0.000 μB per atom.

The structure belongs to space group Imm2 (No. 44); the cell edges are 2.8994, 3.8138 and 7.9500 Å and the angles 90.00°, 90.00° and 90.00°. Symmetry generates all atoms from Mn at (0.0000, 0.0000, 0.0000), Cr at (0.0000, 0.0000, 0.4851), Cr at (0.0000, 0.5000, 0.2407) and P at (0.0000, 0.5000, 0.7381).

=====

No. 3
Here is a relaxed HgGePd2 crystal from Alexandria. Energies are from PBE.

Its density is 11.6 g cm⁻³. The calculation puts the total energy at -4.0717 eV per atom. The volume comes out at 17.4 Å³/atom. For the size of the total moment, the calculation gives 0.000 μB per atom. The calculation puts the offset from the most stable computed form at 0.09 eV/f.u.

The structure belongs to space group R-3m (No. 166, hexagonal axes); the cell edges are 3.1055, 3.1055 and 24.9995 Å and the angles 90.00°, 90.00° and 120.00°. Symmetry generates all atoms from Hg at (0.0000, 0.0000, 0.0000), Ge at (0.0000, 0.0000, 0.5000) and Pd at (0.0000, 0.0000, 0.2404).

=====

No. 4
Here is a relaxed Tm8Co2Cu crystal from Alexandria. Energies are from PBE.

Its density is 9.3 g cm⁻³. The calculation puts the total energy at -4.9816 eV per atom. The volume comes out at 24.8 Å³/atom. For the size of the total moment, the calculation gives 0.000 μB per atom.

The structure belongs to space group Cm (No. 8); the cell edges are 8.1900, 12.1946 and 5.7107 Å and the angles 90.00°, 106.68° and 90.00°. Symmetry generates all atoms from Tm at (0.0000, 0.0000, 0.0000), Tm at (0.0720, 0.3666, 0.7926), Tm at (0.1607, 0.1332, 0.5970), Tm at (0.2384, 0.5000, 0.3829), Tm at (0.3688, 0.2266, 0.1901), Co at (0.3667, 0.3108, 0.6947) and Cu at (0.3705, 0.0000, 0.0450).

=====

No. 5
Here is a relaxed HfCrN2 crystal from Alexandria. Energies are from PBE.

Its density is 11.3 g cm⁻³. The calculation puts the total energy at -9.5539 eV per atom. The volume comes out at 9.5 Å³/atom. As for the uncorrected formation energy: -497 meV per atom. For the size of the total moment, the calculation gives 0.000 μB per atom.

The structure belongs to space group Fm-3m (No. 225); the cell edges are 5.3330, 5.3330 and 5.3330 Å and the angles 90.00°, 90.00° and 90.00°. Symmetry generates all atoms from Hf at (0.0000, 0.0000, 0.0000), Cr at (0.0000, 0.0000, 0.5000) and N at (0.2500, 0.2500, 0.2500).

=====

No. 6
Here is a relaxed LiMg2MnS4 crystal from Alexandria. Energies are from PBE.

Its density is 2.9 g cm⁻³. The calculation puts the total energy at -4.9340 eV per atom. The volume comes out at 16.9 Å³/atom. As for the uncorrected formation energy: -1086 meV per atom. For the size of the total moment, the calculation gives 0.500 μB per atom.

The structure belongs to space group P2/m (No. 10); the cell edges are 6.2015, 3.6510 and 6.2861 Å and the angles 90.00°, 108.29° and 90.00°. Symmetry generates all atoms from Li at (0.0000, 0.0000, 0.0000), Mg at (0.5000, 0.0000, 0.5000), Mg at (0.5000, 0.5000, 0.0000), Mn at (0.0000, 0.5000, 0.5000), S at (0.2408, 0.5000, 0.2651) and S at (0.2415, 0.0000, 0.7437).

=====

No. 7
Here is a relaxed ZrFe3Si2 crystal from Alexandria. Energies are from PBE.

Its density is 6.5 g cm⁻³. The calculation puts the total energy at -7.9934 eV per atom. The volume comes out at 13.4 Å³/atom. As for the uncorrected formation energy: -530 meV per atom. For the size of the total moment, the calculation gives 0.635 μB per atom. The calculation puts the offset from the most stable computed form at 0.00 eV/f.u.

The structure belongs to space group C2/m (No. 12); the cell edges are 15.0823, 3.7666 and 8.8833 Å and the angles 90.00°, 106.93° and 90.00°. Symmetry generates all atoms from Zr at (0.0000, 0.0000, 0.0000), Zr at (0.1599, 0.0000, 0.7187), Fe at (0.0000, 0.5000, 0.5000), Fe at (0.0430, 0.0000, 0.3597), Fe at (0.1220, 0.5000, 0.2064), Fe at (0.1781, 0.5000, 0.9773), Fe at (0.2054, 0.0000, 0.3895), Si at (0.0374, 0.5000, 0.7868), Si at (0.1449, 0.5000, 0.4761) and Si at (0.1987, 0.0000, 0.1258).

=====

No. 8
Here is a relaxed LaSb2PbS crystal from Alexandria. Energies are from PBE.

Its density is 6.6 g cm⁻³. The calculation puts the total energy at -4.5106 eV per atom. The volume comes out at 31.3 Å³/atom. As for the uncorrected formation energy: -309 meV per atom. For the size of the total moment, the calculation gives 0.000 μB per atom.

The structure belongs to space group P4/mmm (No. 123); the cell edges are 5.4006, 5.4006 and 5.3701 Å and the angles 90.00°, 90.00° and 90.00°. Symmetry generates all atoms from La at (0.0000, 0.0000, 0.0000), Sb at (0.0000, 0.5000, 0.5000), Pb at (0.5000, 0.5000, 0.0000) and S at (0.0000, 0.0000, 0.5000).

=====

No. 9
Here is a relaxed CsBiTeF crystal from Alexandria. Energies are from PBE.

Its density is 5.7 g cm⁻³. The calculation puts the total energy at -3.6865 eV per atom. The volume comes out at 35.6 Å³/atom. As for the uncorrected formation energy: -1250 meV per atom. For the size of the total moment, the calculation gives 0.000 μB per atom. The calculation puts the offset from the most stable computed form at 0.00 eV/f.u.

The structure belongs to space group P1 (No. 1); the cell edges are 4.4911, 4.5708 and 7.7299 Å and the angles 74.20°, 74.18° and 72.19°. Symmetry generates all atoms from Cs at (0.0000, 0.0000, 0.0000), Bi at (0.4404, 0.4384, 0.4113), Te at (0.7742, 0.7644, 0.5875) and F at (0.3059, 0.3107, 0.1627).

=====

No. 10
Here is a relaxed Ce4GePd crystal from Alexandria. Energies are from PBE.

Its density is 8.6 g cm⁻³. The calculation puts the total energy at -6.0716 eV per atom. The volume comes out at 23.9 Å³/atom. For the size of the total moment, the calculation gives 0.290 μB per atom.

The structure belongs to space group C2/c (No. 15); the cell edges are 8.5054, 12.8499 and 5.8260 Å and the angles 90.00°, 115.71° and 90.00°. Symmetry generates all atoms from Ce at (0.1360, 0.2027, 0.0943), Ce at (0.1846, 0.4030, 0.3223), Ge at (0.0000, 0.3886, 0.7500) and Pd at (0.0000, 0.0009, 0.7500).

=====

No. 11
Here is a relaxed ZrW4Cl crystal from Alexandria. Energies are from PBE.

Its density is 12.8 g cm⁻³. The calculation puts the total energy at -9.6173 eV per atom. The volume comes out at 18.6 Å³/atom. As for the uncorrected formation energy: 751 meV per atom. For the size of the total moment, the calculation gives 0.000 μB per atom.

The structure belongs to space group F-43m (No. 216); the cell edges are 7.6395, 7.6395 and 7.6395 Å and the angles 90.00°, 90.00° and 90.00°. Symmetry generates all atoms from Zr at (0.0000, 0.0000, 0.0000), W at (0.1239, 0.1239, 0.3761) and Cl at (0.2500, 0.2500, 0.7500).

=====

No. 12
Here is a relaxed Sm3ThC3 crystal from Alexandria. Energies are from PBE.

Its density is 8.2 g cm⁻³. The calculation puts the total energy at -6.8363 eV per atom. The volume comes out at 20.9 Å³/atom. For the size of the total moment, the calculation gives 0.121 μB per atom.

The structure belongs to space group R3m (No. 160, hexagonal axes); the cell edges are 8.1098, 8.1098 and 7.6892 Å and the angles 90.00°, 90.00° and 120.00°. Symmetry generates all atoms from Sm at (0.0329, 0.5165, 0.0000), Th at (0.0000, 0.0000, 0.9281) and C at (0.0153, 0.5076, 0.3367).